No. 1
Entry from OQMD: PrSiTc4Ge after structural relaxation (GGA-PBE).

The structure in POSCAR format:
```
PrSiTc4Ge
1.0
-1.8220 3.1353 -2.0091
-4.0797 1.4650 5.9860
-0.6021 3.7230 6.3560
Ge Pr Tc Si
1 1 4 1
direct
0.0000 0.4136 0.4136 Ge
0.5000 0.0019 0.0019 Pr
0.0000 0.8038 0.8038 Tc
0.0000 0.1916 0.1916 Tc
0.5000 0.3002 0.3002 Tc
0.5000 0.6956 0.6956 Tc
0.0000 0.5934 0.5934 Si
```

Summary:
Total moment in μB/cell: 0.01
Calculated total energy in eV per atom: -8.49

No. 2
Entry from OQMD: Tm3Re5N12 after structural relaxation (GGA-PBE).

The structure in POSCAR format:
```
Tm3Re5N12
1.0
-6.2941 6.2941 6.2941
6.2941 -6.2941 6.2941
6.2941 6.2941 -6.2941
Re N Tm
20 48 12
direct
0.0000 0.5000 0.5000 Re
0.2500 0.1250 0.8750 Re
0.5000 0.5000 0.5000 Re
0.3750 0.2500 0.6250 Re
0.1250 0.8750 0.2500 Re
0.0000 0.0000 0.0000 Re
0.5000 0.0000 0.5000 Re
0.6250 0.7500 0.3750 Re
0.3750 0.6250 0.7500 Re
0.7500 0.3750 0.6250 Re
0.2500 0.6250 0.3750 Re
0.7500 0.8750 0.1250 Re
0.0000 0.0000 0.5000 Re
0.1250 0.7500 0.8750 Re
0.8750 0.2500 0.1250 Re
0.0000 0.5000 0.0000 Re
0.5000 0.0000 0.0000 Re
0.6250 0.3750 0.2500 Re
0.5000 0.5000 0.0000 Re
0.8750 0.1250 0.7500 Re
0.0968 0.9786 0.6805 N
0.7981 0.4163 0.8195 N
0.3818 0.5837 0.9032 N
0.0968 0.6182 0.4163 N
0.9163 0.1182 0.5968 N
0.1805 0.4786 0.5968 N
0.9786 0.6805 0.0968 N
0.6805 0.0968 0.9786 N
0.8195 0.5214 0.4032 N
0.6805 0.0837 0.7019 N
0.1182 0.5968 0.9163 N
0.4163 0.0968 0.6182 N
0.4163 0.8195 0.7981 N
0.0214 0.2019 0.1182 N
0.7981 0.8818 0.9786 N
0.0837 0.8818 0.4032 N
0.9786 0.7981 0.8818 N
0.0214 0.3195 0.9032 N
0.3195 0.9163 0.2981 N
0.0837 0.7019 0.6805 N
0.9163 0.2981 0.3195 N
0.2981 0.4786 0.3818 N
0.2019 0.5837 0.1805 N
0.8818 0.4032 0.0837 N
0.8195 0.7981 0.4163 N
0.5968 0.1805 0.4786 N
0.4786 0.3818 0.2981 N
0.6182 0.7019 0.5214 N
0.3818 0.2981 0.4786 N
0.6182 0.4163 0.0968 N
0.5968 0.9163 0.1182 N
0.4032 0.0837 0.8818 N
0.7019 0.6805 0.0837 N
0.1182 0.0214 0.2019 N
0.3195 0.9032 0.0214 N
0.9032 0.3818 0.5837 N
0.2019 0.1182 0.0214 N
0.4032 0.8195 0.5214 N
0.5214 0.4032 0.8195 N
0.2981 0.3195 0.9163 N
0.7019 0.5214 0.6182 N
0.5837 0.9032 0.3818 N
0.5214 0.6182 0.7019 N
0.8818 0.9786 0.7981 N
0.4786 0.5968 0.1805 N
0.5837 0.1805 0.2019 N
0.1805 0.2019 0.5837 N
0.9032 0.0214 0.3195 N
0.2500 0.8750 0.6250 Tm
0.6250 0.2500 0.8750 Tm
0.8750 0.7500 0.6250 Tm
0.7500 0.1250 0.3750 Tm
0.8750 0.6250 0.2500 Tm
0.3750 0.1250 0.2500 Tm
0.7500 0.6250 0.8750 Tm
0.3750 0.7500 0.1250 Tm
0.1250 0.3750 0.7500 Tm
0.6250 0.8750 0.7500 Tm
0.1250 0.2500 0.3750 Tm
0.2500 0.3750 0.1250 Tm
```

Summary:
Total moment in μB/cell: 0.05
Calculated total energy in eV per atom: -9.25

No. 3
Entry from OQMD: TlFeOsPd after structural relaxation (GGA-PBE).

The structure in POSCAR format:
```
TlFeOsPd
1.0
-2.3278 -3.7135 1.0197
-3.0349 0.0880 3.3212
-4.3904 -0.2371 -0.9573
Os Tl Fe Pd
1 1 1 1
direct
0.5000 0.5000 0.5000 Os
0.0000 0.0000 0.0000 Tl
0.7500 0.7500 0.7500 Fe
0.2500 0.2500 0.2500 Pd
```

Summary:
Total moment in μB/cell: 3.98
Polymorph energy (0 for the lowest one) in meV/atom: 0

No. 4
Entry from OQMD: LiZnSb2 after structural relaxation (GGA-PBE).

The structure in POSCAR format:
```
LiZnSb2
1.0
0.0000 3.5878 3.5878
3.5878 0.0000 3.5878
3.5878 3.5878 0.0000
Sb Zn Li
2 1 1
direct
0.7500 0.7500 0.7500 Sb
0.0000 0.0000 0.0000 Sb
0.2500 0.2500 0.2500 Zn
0.5000 0.5000 0.5000 Li
```

Summary:
Calculated total energy in eV per atom: -2.80

No. 5
Entry from OQMD: Ho3NiSn2Pt2Pb after structural relaxation (GGA-PBE).

The structure in POSCAR format:
```
Ho3NiSn2Pt2Pb
1.0
-0.6464 3.5202 -1.4308
-3.7184 -3.0638 -5.8581
-3.7929 1.8636 6.2986
Ni Ho Sn Pb Pt
1 3 2 1 2
direct
0.0000 0.9879 0.9879 Ni
0.0000 0.9978 0.4032 Ho
0.0000 0.4032 0.9978 Ho
0.0000 0.6000 0.6000 Ho
0.5000 0.9990 0.7479 Sn
0.5000 0.7479 0.9990 Sn
0.5000 0.2518 0.2518 Pb
0.5000 0.6763 0.3361 Pt
0.5000 0.3361 0.6763 Pt
```

Summary:
Total moment in μB/cell: 0.00
Calculated total energy in eV per atom: -5.70

No. 6
Entry from OQMD: Zn2IN4Cl after structural relaxation (GGA-PBE).

The structure in POSCAR format:
```
Zn2IN4Cl
1.0
4.2397 -2.7400 -4.0080
4.2321 -3.8789 2.9308
-6.4180 0.5895 0.0898
Cl Zn N I
1 2 4 1
direct
0.0000 0.0000 0.0000 Cl
0.2500 0.7500 0.5000 Zn
0.5000 0.5000 0.0000 Zn
0.5633 0.5973 0.8128 N
0.4027 0.2154 0.9660 N
0.7846 0.7506 0.1872 N
0.2494 0.4367 0.0340 N
0.7500 0.2500 0.5000 I
```

Summary:
Calculated total energy in eV per atom: -4.16

No. 7
Entry from OQMD: PrMg4Au2 after structural relaxation (GGA-PBE).

The structure in POSCAR format:
```
PrMg4Au2
1.0
8.3334 0.0000 0.0000
0.0000 8.3334 0.0000
0.0000 0.0000 4.4630
Mg Au Pr
8 4 2
direct
0.6633 0.0881 0.5000 Mg
0.0881 0.6633 0.5000 Mg
0.5881 0.8367 0.0000 Mg
0.1633 0.4119 0.0000 Mg
0.4119 0.1633 0.0000 Mg
0.8367 0.5881 0.0000 Mg
0.3367 0.9119 0.5000 Mg
0.9119 0.3367 0.5000 Mg
0.2181 0.2181 0.5000 Au
0.2819 0.7181 0.0000 Au
0.7181 0.2819 0.0000 Au
0.7819 0.7819 0.5000 Au
0.5000 0.5000 0.5000 Pr
0.0000 0.0000 0.0000 Pr
```

Summary:
Total moment in μB/cell: 0.01
Calculated total energy in eV per atom: -3.02

No. 8
Entry from OQMD: Al2HgTe2S2 after structural relaxation (GGA-PBE).

The structure in POSCAR format:
```
Al2HgTe2S2
1.0
4.1481 -5.4852 0.0000
4.1481 5.4852 0.0000
-3.9958 0.0000 4.3876
Te Al Hg S
2 2 1 2
direct
0.5723 0.8469 0.4560 Te
0.1531 0.4277 0.5440 Te
0.5216 0.4784 0.0000 Al
0.7353 0.2647 0.5000 Al
0.9933 0.0067 0.0000 Hg
0.8437 0.5692 0.9573 S
0.4308 0.1563 0.0427 S
```

Summary:
Polymorph energy (0 for the lowest one) in meV/atom: 0

No. 9
Entry from OQMD: ErLuSO2 after structural relaxation (GGA-PBE).

The structure in POSCAR format:
```
ErLuSO2
1.0
3.7165 0.0000 0.0000
-1.8582 3.2186 0.0000
0.0000 0.0000 6.4821
Lu O Er S
1 2 1 1
direct
0.6667 0.3333 0.7155 Lu
0.0000 0.0000 0.6322 O
0.6667 0.3333 0.3730 O
0.0000 0.0000 0.2820 Er
0.3333 0.6667 0.9973 S
```

Summary:
Total moment in μB/cell: 0.00
Calculated total energy in eV per atom: -7.86

No. 10
Entry from OQMD: Sm3GeSe2 after structural relaxation (GGA-PBE).

The structure in POSCAR format:
```
Sm3GeSe2
1.0
5.7426 3.9124 -2.1955
-0.0966 7.2651 0.5605
-0.5113 -6.3615 3.5179
Ge Sm Se
1 3 2
direct
0.5000 0.5000 0.0000 Ge
0.0000 0.5000 0.5000 Sm
0.3397 0.8397 0.5000 Sm
0.6603 0.1603 0.5000 Sm
0.1678 0.1678 0.0000 Se
0.8322 0.8322 0.0000 Se
```

Summary:
Total moment in μB/cell: 0.01
Calculated total energy in eV per atom: -5.89

No. 11
Entry from OQMD: CdCoCuGe after structural relaxation (GGA-PBE).

The structure in POSCAR format:
```
CdCoCuGe
1.0
-0.8061 -4.1907 -0.8354
-4.0974 -1.4548 -0.0661
-1.8380 -1.1512 -3.7691
Ge Cd Co Cu
1 1 1 1
direct
0.0000 0.0000 0.0000 Ge
0.5000 0.5000 0.5000 Cd
0.7500 0.7500 0.7500 Co
0.2500 0.2500 0.2500 Cu
```

Summary:
Total moment in μB/cell: 0.72
Polymorph energy (0 for the lowest one) in meV/atom: 0

No. 12
Entry from OQMD: Hf2CuW after structural relaxation (GGA-PBE).

The structure in POSCAR format:
```
Hf2CuW
1.0
2.3098 1.3336 3.7720
-2.3098 1.3336 3.7720
0.0000 -2.6672 3.7720
Hf W Cu
2 1 1
direct
0.7500 0.7500 0.7500 Hf
0.0000 0.0000 0.0000 Hf
0.5000 0.5000 0.5000 W
0.2500 0.2500 0.2500 Cu
```

Summary:
Total moment in μB/cell: 0.00
DFT formation energy in eV/f.u.: 1.29